# 1
{"formula": "Li2AcScHg4", "functional": "PBE-GGA", "state": "optimized geometry", "spacegroup": "R-3m", "final_energy_ev_per_atom": -2.3371, "n_ef_per_ev_cell": 5.61, "lattice": [[2.432, 1.404, 9.275], [-2.432, 1.404, 9.275], [0.000, -2.808, 9.275]], "species": ["Li", "Li", "Ac", "Sc", "Hg", "Hg", "Hg", "Hg"], "fractional_positions": [[0.234, 0.234, 0.234], [0.766, 0.766, 0.766], [0.000, 0.000, 0.000], [0.500, 0.500, 0.500], [0.128, 0.128, 0.128], [0.396, 0.396, 0.396], [0.604, 0.604, 0.604], [0.872, 0.872, 0.872]]}


# 2
{"formula": "LiPmThMg", "functional": "PBE-GGA", "state": "optimized geometry", "spacegroup": "F-43m", "final_energy_ev_per_atom": -3.7933, "n_ef_per_ev_cell": 3.82, "lattice": [[0.000, 3.809, 3.809], [3.809, 0.000, 3.809], [3.809, 3.809, 0.000]], "species": ["Li", "Pm", "Th", "Mg"], "fractional_positions": [[0.000, 0.000, 0.000], [0.750, 0.750, 0.750], [0.250, 0.250, 0.250], [0.500, 0.500, 0.500]]}


# 3
{"formula": "SmScBe2Si2", "functional": "PBE-GGA", "state": "optimized geometry", "spacegroup": "P-3m1", "raw_formation_energy_ev_per_atom": -0.615, "n_ef_per_ev_cell": 3.03, "lattice": [[3.841, 0.000, 0.000], [-1.921, 3.327, 0.000], [0.000, 0.000, 7.865]], "species": ["Sm", "Sc", "Be", "Be", "Si", "Si"], "fractional_positions": [[0.000, 0.000, 0.000], [0.000, 0.000, 0.500], [0.333, 0.667, 0.730], [0.667, 0.333, 0.270], [0.333, 0.667, 0.269], [0.667, 0.333, 0.731]]}


# 4
{"formula": "ZrReSi2", "functional": "PBE-GGA", "state": "optimized geometry", "spacegroup": "R3m", "raw_formation_energy_ev_per_atom": 0.075, "n_ef_per_ev_cell": 2.73, "lattice": [[1.484, 0.857, 8.534], [-1.484, 0.857, 8.534], [0.000, -1.713, 8.534]], "species": ["Zr", "Re", "Si", "Si"], "fractional_positions": [[0.000, 0.000, 0.000], [0.236, 0.236, 0.236], [0.499, 0.499, 0.499], [0.755, 0.755, 0.755]]}


Computed V (Å³/f.u.) in order:
190.03 110.54 100.49 65.07